1.
# RbPbI2N PBE relaxed
# Polymorph energy (0 for the lowest one) in meV/atom: 0
# E_form (uncorrected) in eV/atom: 0.02
data_RbPbI2N
_space_group_name_H-M_alt 'P 1'
_space_group_IT_number 1
_cell_length_a 6.330
_cell_length_b 6.330
_cell_length_c 4.409
_cell_angle_alpha 90.00
_cell_angle_beta 90.00
_cell_angle_gamma 90.00
loop_
_space_group_symop_operation_xyz
'x,y,z'
loop_
_atom_site_label
_atom_site_type_symbol
_atom_site_fract_x
_atom_site_fract_y
_atom_site_fract_z
N1 N 0.000 0.000 0.500
Rb1 Rb 0.500 0.500 0.500
I1 I 0.000 0.500 0.000
Pb1 Pb 0.000 0.000 0.000
I2 I 0.500 0.000 0.000

=====

2.
# Pd4Se3S PBE relaxed
# E_form (uncorrected) in eV/atom: -0.24
data_Pd4Se3S
_space_group_name_H-M_alt 'P 1'
_space_group_IT_number 1
_cell_length_a 6.468
_cell_length_b 6.739
_cell_length_c 7.432
_cell_angle_alpha 90.00
_cell_angle_beta 90.00
_cell_angle_gamma 90.00
loop_
_space_group_symop_operation_xyz
'x,y,z'
loop_
_atom_site_label
_atom_site_type_symbol
_atom_site_fract_x
_atom_site_fract_y
_atom_site_fract_z
Pd1 Pd 0.662 0.703 0.309
Se1 Se 0.521 0.349 0.287
Pd2 Pd 0.162 0.297 0.191
Se2 Se 0.521 0.349 0.713
Se3 Se 0.021 0.651 0.213
S1 S 0.414 0.835 0.500
Pd3 Pd 0.662 0.703 0.691
Pd4 Pd 0.161 0.918 0.000
Se4 Se 0.018 0.213 0.500
Se5 Se 0.518 0.787 0.000
Pd5 Pd 0.661 0.082 0.500
Se6 Se 0.021 0.651 0.787
Pd6 Pd 0.056 0.842 0.500
Pd7 Pd 0.162 0.297 0.809
S2 S 0.914 0.165 0.000
Pd8 Pd 0.556 0.158 0.000

=====

3.
# AcCdAgHg PBE relaxed
# Formation energy in meV per atom: -310
data_AcCdAgHg
_space_group_name_H-M_alt 'P 1'
_space_group_IT_number 1
_cell_length_a 5.314
_cell_length_b 5.314
_cell_length_c 5.314
_cell_angle_alpha 60.00
_cell_angle_beta 60.00
_cell_angle_gamma 60.00
loop_
_space_group_symop_operation_xyz
'x,y,z'
loop_
_atom_site_label
_atom_site_type_symbol
_atom_site_fract_x
_atom_site_fract_y
_atom_site_fract_z
Ag1 Ag 0.750 0.750 0.750
Cd1 Cd 0.500 0.500 0.500
Hg1 Hg 0.250 0.250 0.250
Ac1 Ac 0.000 0.000 0.000

=====

4.
# TbGa2Ge PBE relaxed
# Polymorph energy (0 for the lowest one) in meV/atom: 176
# Formation energy in meV per atom: -334
data_TbGa2Ge
_space_group_name_H-M_alt 'P 1'
_space_group_IT_number 1
_cell_length_a 4.608
_cell_length_b 4.390
_cell_length_c 4.398
_cell_angle_alpha 96.54
_cell_angle_beta 90.00
_cell_angle_gamma 90.00
loop_
_space_group_symop_operation_xyz
'x,y,z'
loop_
_atom_site_label
_atom_site_type_symbol
_atom_site_fract_x
_atom_site_fract_y
_atom_site_fract_z
Tb1 Tb 0.500 0.500 0.000
Ga1 Ga 0.000 0.207 0.292
Ga2 Ga 0.000 0.793 0.708
Ge1 Ge 0.500 0.000 0.500

=====

5.
# Lu2MgTi PBE relaxed
# Polymorph energy (0 for the lowest one) in meV/atom: 106
# Formation energy in meV per atom: 150
data_Lu2MgTi
_space_group_name_H-M_alt 'P 1'
_space_group_IT_number 1
_cell_length_a 4.172
_cell_length_b 4.866
_cell_length_c 4.866
_cell_angle_alpha 90.00
_cell_angle_beta 90.00
_cell_angle_gamma 90.00
loop_
_space_group_symop_operation_xyz
'x,y,z'
loop_
_atom_site_label
_atom_site_type_symbol
_atom_site_fract_x
_atom_site_fract_y
_atom_site_fract_z
Lu1 Lu 0.000 0.000 0.500
Lu2 Lu 0.000 0.500 0.000
Mg1 Mg 0.500 0.500 0.500
Ti1 Ti 0.500 0.000 0.000

=====

6.
# AgSbRu2 PBE relaxed
# E_form (uncorrected) in eV/atom: 0.41
data_AgSbRu2
_space_group_name_H-M_alt 'P 1'
_space_group_IT_number 1
_cell_length_a 5.357
_cell_length_b 5.357
_cell_length_c 5.357
_cell_angle_alpha 146.01
_cell_angle_beta 127.17
_cell_angle_gamma 64.32
loop_
_space_group_symop_operation_xyz
'x,y,z'
loop_
_atom_site_label
_atom_site_type_symbol
_atom_site_fract_x
_atom_site_fract_y
_atom_site_fract_z
Ag1 Ag 0.750 0.250 0.500
Ru1 Ru 0.024 0.024 0.000
Ru2 Ru 0.476 0.476 0.000
Sb1 Sb 0.250 0.750 0.500

=====

7.
# BeCr2Cu PBE relaxed
# Formation energy in meV per atom: 186
data_BeCr2Cu
_space_group_name_H-M_alt 'P 1'
_space_group_IT_number 1
_cell_length_a 4.500
_cell_length_b 4.500
_cell_length_c 4.500
_cell_angle_alpha 142.30
_cell_angle_beta 126.27
_cell_angle_gamma 67.50
loop_
_space_group_symop_operation_xyz
'x,y,z'
loop_
_atom_site_label
_atom_site_type_symbol
_atom_site_fract_x
_atom_site_fract_y
_atom_site_fract_z
Cr1 Cr 0.991 0.991 0.000
Be1 Be 0.257 0.757 0.500
Cu1 Cu 0.487 0.487 0.000
Cr2 Cr 0.765 0.265 0.500

=====

8.
# Mn2CuPb PBE relaxed
# Formation energy in meV per atom: 441
data_Mn2CuPb
_space_group_name_H-M_alt 'P 1'
_space_group_IT_number 1
_cell_length_a 5.167
_cell_length_b 5.167
_cell_length_c 4.625
_cell_angle_alpha 71.32
_cell_angle_beta 71.32
_cell_angle_gamma 35.15
loop_
_space_group_symop_operation_xyz
'x,y,z'
loop_
_atom_site_label
_atom_site_type_symbol
_atom_site_fract_x
_atom_site_fract_y
_atom_site_fract_z
Mn1 Mn 0.988 0.988 0.988
Pb1 Pb 0.511 0.511 0.474
Cu1 Cu 0.265 0.265 0.245
Mn2 Mn 0.736 0.736 0.793

=====

9.
# PuCdPtAu PBE relaxed
# Formation energy in meV per atom: -449
data_PuCdPtAu
_space_group_name_H-M_alt 'P 1'
_space_group_IT_number 1
_cell_length_a 4.924
_cell_length_b 4.924
_cell_length_c 4.924
_cell_angle_alpha 60.00
_cell_angle_beta 60.00
_cell_angle_gamma 60.00
loop_
_space_group_symop_operation_xyz
'x,y,z'
loop_
_atom_site_label
_atom_site_type_symbol
_atom_site_fract_x
_atom_site_fract_y
_atom_site_fract_z
Pu1 Pu 0.000 0.000 0.000
Au1 Au 0.750 0.750 0.750
Pt1 Pt 0.250 0.250 0.250
Cd1 Cd 0.500 0.500 0.500

=====

10.
# Tl11InHg5 PBE relaxed
# Formation energy in meV per atom: 24
data_Tl11InHg5
_space_group_name_H-M_alt 'P 1'
_space_group_IT_number 1
_cell_length_a 9.177
_cell_length_b 9.177
_cell_length_c 8.777
_cell_angle_alpha 63.45
_cell_angle_beta 63.45
_cell_angle_gamma 100.43
loop_
_space_group_symop_operation_xyz
'x,y,z'
loop_
_atom_site_label
_atom_site_type_symbol
_atom_site_fract_x
_atom_site_fract_y
_atom_site_fract_z
Hg1 Hg 0.902 0.564 0.786
Tl1 Tl 0.000 0.000 0.500
Hg2 Hg 0.500 0.500 0.000
Tl2 Tl 0.246 0.861 0.729
Tl3 Tl 0.690 0.690 0.524
Tl4 Tl 0.218 0.463 0.790
In1 In 0.000 0.000 0.000
Hg3 Hg 0.436 0.098 0.214
Tl5 Tl 0.861 0.246 0.729
Hg4 Hg 0.098 0.436 0.214
Tl6 Tl 0.782 0.537 0.210
Tl7 Tl 0.139 0.754 0.271
Tl8 Tl 0.463 0.218 0.790
Hg5 Hg 0.564 0.902 0.786
Tl9 Tl 0.537 0.782 0.210
Tl10 Tl 0.754 0.139 0.271
Tl11 Tl 0.310 0.310 0.476

=====

11.
# Sm2Dy2Er4Tm PBE relaxed
# Formation energy in meV per atom: -2
data_Sm2Dy2Er4Tm
_space_group_name_H-M_alt 'P 1'
_space_group_IT_number 1
_cell_length_a 3.569
_cell_length_b 9.434
_cell_length_c 9.483
_cell_angle_alpha 115.24
_cell_angle_beta 90.00
_cell_angle_gamma 100.90
loop_
_space_group_symop_operation_xyz
'x,y,z'
loop_
_atom_site_label
_atom_site_type_symbol
_atom_site_fract_x
_atom_site_fract_y
_atom_site_fract_z
Dy1 Dy 0.147 0.295 0.663
Er1 Er 0.519 0.038 0.334
Sm1 Sm 0.665 0.331 0.000
Er2 Er 0.481 0.962 0.666
Sm2 Sm 0.335 0.669 0.000
Er3 Er 0.185 0.370 0.335
Er4 Er 0.815 0.630 0.665
Tm1 Tm 0.000 0.000 0.000
Dy2 Dy 0.853 0.705 0.337

=====

12.
# KUGaCl6 PBE relaxed
# E_form (uncorrected) in eV/atom: -1.59
data_KUGaCl6
_space_group_name_H-M_alt 'P 1'
_space_group_IT_number 1
_cell_length_a 7.474
_cell_length_b 7.474
_cell_length_c 13.085
_cell_angle_alpha 90.00
_cell_angle_beta 90.00
_cell_angle_gamma 120.00
loop_
_space_group_symop_operation_xyz
'x,y,z'
loop_
_atom_site_label
_atom_site_type_symbol
_atom_site_fract_x
_atom_site_fract_y
_atom_site_fract_z
Cl1 Cl 0.038 0.381 0.636
Cl2 Cl 0.962 0.343 0.136
K1 K 0.000 0.000 0.500
U1 U 0.333 0.667 0.750
U2 U 0.667 0.333 0.250
Ga1 Ga 0.333 0.667 0.250
Cl3 Cl 0.619 0.657 0.636
Cl4 Cl 0.343 0.962 0.636
Cl5 Cl 0.657 0.038 0.364
Cl6 Cl 0.381 0.343 0.364
Cl7 Cl 0.038 0.657 0.864
Cl8 Cl 0.343 0.381 0.864
Cl9 Cl 0.381 0.038 0.136
K2 K 0.000 0.000 0.000
Cl10 Cl 0.962 0.619 0.364
Ga2 Ga 0.667 0.333 0.750
Cl11 Cl 0.619 0.962 0.864
Cl12 Cl 0.657 0.619 0.136

=====

13.
# SiGeSbTe2 PBE relaxed
# Polymorph energy (0 for the lowest one) in meV/atom: 247
# E_form (uncorrected) in eV/atom: 0.85
data_SiGeSbTe2
_space_group_name_H-M_alt 'P 1'
_space_group_IT_number 1
_cell_length_a 5.340
_cell_length_b 5.340
_cell_length_c 5.361
_cell_angle_alpha 90.00
_cell_angle_beta 90.00
_cell_angle_gamma 90.00
loop_
_space_group_symop_operation_xyz
'x,y,z'
loop_
_atom_site_label
_atom_site_type_symbol
_atom_site_fract_x
_atom_site_fract_y
_atom_site_fract_z
Ge1 Ge 0.000 0.000 0.000
Te1 Te 0.500 0.000 0.000
Si1 Si 0.500 0.500 0.500
Te2 Te 0.000 0.500 0.000
Sb1 Sb 0.000 0.000 0.500

=====

14.
# BiOsBr2 PBE relaxed
# Polymorph energy (0 for the lowest one) in meV/atom: 3
# E_form (uncorrected) in eV/atom: 0.54
data_BiOsBr2
_space_group_name_H-M_alt 'P 1'
_space_group_IT_number 1
_cell_length_a 10.825
_cell_length_b 10.825
_cell_length_c 10.825
_cell_angle_alpha 19.63
_cell_angle_beta 19.63
_cell_angle_gamma 19.63
loop_
_space_group_symop_operation_xyz
'x,y,z'
loop_
_atom_site_label
_atom_site_type_symbol
_atom_site_fract_x
_atom_site_fract_y
_atom_site_fract_z
Os1 Os 0.500 0.500 0.500
Bi1 Bi 0.000 0.000 0.000
Br1 Br 0.125 0.125 0.125
Br2 Br 0.875 0.875 0.875

=====

15.
# LiSi2Ag PBE relaxed
# Polymorph energy (0 for the lowest one) in meV/atom: 0
# E_form (uncorrected) in eV/atom: 0.05
data_LiSi2Ag
_space_group_name_H-M_alt 'P 1'
_space_group_IT_number 1
_cell_length_a 4.302
_cell_length_b 2.719
_cell_length_c 5.426
_cell_angle_alpha 89.94
_cell_angle_beta 90.00
_cell_angle_gamma 90.00
loop_
_space_group_symop_operation_xyz
'x,y,z'
loop_
_atom_site_label
_atom_site_type_symbol
_atom_site_fract_x
_atom_site_fract_y
_atom_site_fract_z
Li1 Li 0.500 0.750 0.750
Si1 Si 0.000 0.249 0.976
Ag1 Ag 0.500 0.250 0.250
Si2 Si 0.000 0.251 0.524

=====

16.
# AcSi3Au2 PBE relaxed
# E_form (uncorrected) in eV/atom: -0.39
data_AcSi3Au2
_space_group_name_H-M_alt 'P 1'
_space_group_IT_number 1
_cell_length_a 4.409
_cell_length_b 4.409
_cell_length_c 13.179
_cell_angle_alpha 99.63
_cell_angle_beta 99.63
_cell_angle_gamma 90.00
loop_
_space_group_symop_operation_xyz
'x,y,z'
loop_
_atom_site_label
_atom_site_type_symbol
_atom_site_fract_x
_atom_site_fract_y
_atom_site_fract_z
Au1 Au 0.595 0.595 0.191
Ac1 Ac 0.853 0.853 0.706
Si1 Si 0.454 0.954 0.909
Si2 Si 0.695 0.695 0.391
Si3 Si 0.305 0.305 0.609
Ac2 Ac 0.147 0.147 0.294
Au2 Au 0.750 0.250 0.500
Si4 Si 0.954 0.454 0.909
Au3 Au 0.405 0.405 0.809
Si5 Si 0.546 0.046 0.091
Au4 Au 0.250 0.750 0.500
Si6 Si 0.046 0.546 0.091

=====

17.
# Li2InRu PBE relaxed
# Formation energy in meV per atom: -6
data_Li2InRu
_space_group_name_H-M_alt 'P 1'
_space_group_IT_number 1
_cell_length_a 4.250
_cell_length_b 3.859
_cell_length_c 3.859
_cell_angle_alpha 90.00
_cell_angle_beta 90.00
_cell_angle_gamma 90.00
loop_
_space_group_symop_operation_xyz
'x,y,z'
loop_
_atom_site_label
_atom_site_type_symbol
_atom_site_fract_x
_atom_site_fract_y
_atom_site_fract_z
In1 In 0.500 0.000 0.500
Li1 Li 0.000 0.500 0.500
Li2 Li 0.000 0.000 0.000
Ru1 Ru 0.500 0.500 0.000

=====

18.
# NaCa2Pd2 PBE relaxed
# Polymorph energy (0 for the lowest one) in meV/atom: 88
# Formation energy in meV per atom: -406
data_NaCa2Pd2
_space_group_name_H-M_alt 'P 1'
_space_group_IT_number 1
_cell_length_a 8.543
_cell_length_b 8.543
_cell_length_c 3.302
_cell_angle_alpha 90.00
_cell_angle_beta 90.00
_cell_angle_gamma 90.00
loop_
_space_group_symop_operation_xyz
'x,y,z'
loop_
_atom_site_label
_atom_site_type_symbol
_atom_site_fract_x
_atom_site_fract_y
_atom_site_fract_z
Pd1 Pd 0.350 0.150 0.500
Pd2 Pd 0.650 0.850 0.500
Na1 Na 0.500 0.500 0.000
Ca1 Ca 0.356 0.856 0.000
Na2 Na 0.000 0.000 0.000
Ca2 Ca 0.856 0.644 0.000
Ca3 Ca 0.644 0.144 0.000
Pd3 Pd 0.850 0.350 0.500
Pd4 Pd 0.150 0.650 0.500
Ca4 Ca 0.144 0.356 0.000

=====

19.
# LiU4P3O20 PBE relaxed
# E_form (uncorrected) in eV/atom: -2.73
data_LiU4P3O20
_space_group_name_H-M_alt 'P 1'
_space_group_IT_number 1
_cell_length_a 9.993
_cell_length_b 9.986
_cell_length_c 17.775
_cell_angle_alpha 73.83
_cell_angle_beta 90.00
_cell_angle_gamma 90.00
loop_
_space_group_symop_operation_xyz
'x,y,z'
loop_
_atom_site_label
_atom_site_type_symbol
_atom_site_fract_x
_atom_site_fract_y
_atom_site_fract_z
U1 U 0.624 0.028 0.693
O1 O 0.485 0.725 0.560
O2 O 0.754 0.045 0.941
O3 O 0.039 0.424 0.072
O4 O 0.118 0.468 0.801
O5 O 0.127 0.586 0.584
O6 O 0.701 0.755 0.429
O7 O 0.461 0.424 0.572
O8 O 0.751 0.480 0.059
P1 P 0.874 0.253 0.745
O9 O 0.251 0.520 0.441
U2 U 0.134 0.087 0.558
O10 O 0.281 0.237 0.928
O11 O 0.541 0.925 0.072
O12 O 0.213 0.806 0.311
O13 O 0.378 0.922 0.413
O14 O 0.219 0.237 0.428
O15 O 0.031 0.198 0.183
P2 P 0.873 0.812 0.631
O16 O 0.369 0.020 0.196
P3 P 0.373 0.188 0.869
O17 O 0.631 0.980 0.804
U3 U 0.866 0.913 0.442
O18 O 0.515 0.275 0.440
O19 O 0.990 0.780 0.442
O20 O 0.965 0.138 0.796
O21 O 0.039 0.631 0.311
O22 O 0.373 0.586 0.084
P4 P 0.123 0.308 0.130
O23 O 0.461 0.631 0.811
O24 O 0.784 0.318 0.797
Li1 Li 0.629 0.327 0.088
U4 U 0.366 0.087 0.058
O25 O 0.799 0.755 0.929
O26 O 0.216 0.682 0.203
O27 O 0.882 0.532 0.199
U5 U 0.125 0.531 0.690
O28 O 0.789 0.877 0.684
U6 U 0.376 0.972 0.307
O29 O 0.961 0.369 0.689
O30 O 0.289 0.123 0.816
O31 O 0.961 0.576 0.928
O32 O 0.618 0.532 0.699
O33 O 0.531 0.802 0.317
O34 O 0.540 0.693 0.179
P5 P 0.626 0.253 0.245
O35 O 0.211 0.123 0.316
O36 O 0.010 0.220 0.558
O37 O 0.035 0.862 0.204
O38 O 0.460 0.307 0.821
O39 O 0.749 0.480 0.559
P6 P 0.377 0.308 0.630
Li2 Li 0.129 0.673 0.412
P7 P 0.127 0.188 0.369
O40 O 0.282 0.371 0.679
O41 O 0.713 0.194 0.189
O42 O 0.960 0.693 0.679
O43 O 0.201 0.245 0.071
O44 O 0.535 0.138 0.296
O45 O 0.490 0.220 0.058
O46 O 0.716 0.318 0.297
O47 O 0.469 0.198 0.683
O48 O 0.985 0.275 0.940
O49 O 0.465 0.862 0.704
O50 O 0.719 0.763 0.072
P8 P 0.877 0.692 0.870
O51 O 0.218 0.371 0.179
O52 O 0.781 0.763 0.572
U7 U 0.625 0.469 0.810
U8 U 0.875 0.469 0.310
O53 O 0.878 0.078 0.087
U9 U 0.124 0.972 0.807
O54 O 0.718 0.629 0.321
O55 O 0.539 0.576 0.428
P9 P 0.623 0.692 0.370
U10 U 0.884 0.604 0.059
Li3 Li 0.871 0.327 0.588
O56 O 0.246 0.955 0.059
O57 O 0.969 0.802 0.817
O58 O 0.746 0.045 0.441
O59 O 0.299 0.245 0.571
O60 O 0.382 0.468 0.301
O61 O 0.040 0.307 0.321
O62 O 0.711 0.877 0.184
O63 O 0.787 0.194 0.689
O64 O 0.873 0.414 0.416
P10 P 0.374 0.747 0.755
O65 O 0.249 0.520 0.941
O66 O 0.254 0.955 0.559
P11 P 0.627 0.812 0.131
U11 U 0.634 0.913 0.942
O67 O 0.782 0.629 0.821
Li4 Li 0.371 0.673 0.912
O68 O 0.284 0.682 0.703
U12 U 0.876 0.028 0.193
O69 O 0.041 0.075 0.428
O70 O 0.627 0.414 0.916
O71 O 0.539 0.369 0.189
O72 O 0.459 0.075 0.928
O73 O 0.131 0.020 0.696
U13 U 0.375 0.531 0.190
O74 O 0.122 0.922 0.913
U14 U 0.116 0.396 0.941
O75 O 0.287 0.806 0.811
U15 U 0.384 0.396 0.441
O76 O 0.959 0.925 0.572
U16 U 0.616 0.604 0.559
P12 P 0.126 0.747 0.255
O77 O 0.510 0.780 0.942
O78 O 0.015 0.725 0.060
O79 O 0.622 0.078 0.587
O80 O 0.869 0.980 0.304

=====

20.
# AcPrSn2 PBE relaxed
# Formation energy in meV per atom: -727
data_AcPrSn2
_space_group_name_H-M_alt 'P 1'
_space_group_IT_number 1
_cell_length_a 4.507
_cell_length_b 6.551
_cell_length_c 9.010
_cell_angle_alpha 90.00
_cell_angle_beta 90.00
_cell_angle_gamma 90.00
loop_
_space_group_symop_operation_xyz
'x,y,z'
loop_
_atom_site_label
_atom_site_type_symbol
_atom_site_fract_x
_atom_site_fract_y
_atom_site_fract_z
Sn1 Sn 0.500 0.902 0.459
Ac1 Ac 0.500 0.370 0.319
Sn2 Sn 0.000 0.611 0.539
Sn3 Sn 0.500 0.098 0.959
Pr1 Pr 0.000 0.869 0.183
Pr2 Pr 0.000 0.131 0.683
Sn4 Sn 0.000 0.389 0.039
Ac2 Ac 0.500 0.630 0.819